KHgMo2 | PBE | optimized geometry

Values from the calculation:
- Space group: No. 47
- V: 25.88 Å³ per atom
- Size of the total moment: 0.0 Bohr magnetons per cell
- Energy of formation from the pure elements: 0.97 eV per atom

The structure in POSCAR format:
```
KHgMo2
1.0
2.9985 0.0000 0.0000
0.0000 4.7073 0.0000
0.0000 0.0000 7.3345
K Hg Mo
1 1 2
Cartesian
0.0000 0.0000 0.0000
0.0000 0.0000 3.6673
1.4993 2.3537 2.5915
1.4993 2.3537 4.7430
```